Density functional theory data (PBE) for an optimized crystal structure of UNb2Os.

Properties
* energy above the most stable polymorph in this dataset: 0 meV/atom
* calculated density: 13.7 g/cm3
* DFT formation energy: 0.0687 eV/atom
* D(E_F): 5.888 states/eV/f.u.
* total magnetization: 0.0 μB/f.u.
* volume: 18.562 A^3/atom

Unit cell a=3.013 b=3.013 c=8.180 alpha=90.00 beta=90.00 gamma=90.00
Element x y z (fractional)
U 0.000 0.000 0.000
Nb 0.500 0.500 0.288
Nb 0.500 0.500 0.712
Os 0.000 0.000 0.500

***

Density functional theory data (PBE) for an optimized crystal structure of UNbOs.

Properties
* energy above the most stable polymorph in this dataset: 78 meV/atom
* calculated density: 16.0 g/cm3
* DFT formation energy: 0.2211 eV/atom
* D(E_F): 4.073 states/eV/f.u.
* total magnetization: 0.0 μB/f.u.
* volume: 17.978 A^3/atom

Unit cell a=2.892 b=2.892 c=7.447 alpha=90.00 beta=90.00 gamma=120.00
Element x y z (fractional)
U 0.000 0.000 0.000
Nb 0.667 0.333 0.373
Os 0.333 0.667 0.665

***

Density functional theory data (PBE) for an optimized crystal structure of ZrUNbOs.

Properties
* calculated density: 13.7 g/cm3
* DFT formation energy: 0.0939 eV/atom
* D(E_F): 5.512 states/eV/f.u.
* total magnetization: 0.6 μB/f.u.
* volume: 18.553 A^3/atom

Unit cell a=4.717 b=4.717 c=4.717 alpha=60.00 beta=60.00 gamma=60.00
Element x y z (fractional)
Zr 0.000 0.000 0.000
U 0.750 0.750 0.750
Nb 0.500 0.500 0.500
Os 0.250 0.250 0.250

***

Density functional theory data (PBE) for an optimized crystal structure of NbVOs.

Properties
* energy above the most stable polymorph in this dataset: 0 meV/atom
* calculated density: 11.8 g/cm3
* DFT formation energy: -0.2653 eV/atom
* D(E_F): 3.925 states/eV/f.u.
* total magnetization: 0.0 μB/f.u.
* volume: 15.625 A^3/atom

Unit cell a=5.078 b=5.078 c=5.078 alpha=121.42 beta=116.55 gamma=91.81
Element x y z (fractional)
Nb 0.376 0.126 0.250
Nb 0.624 0.874 0.750
V 0.000 0.000 0.500
V 0.000 0.500 0.000
Os 0.000 0.500 0.500
Os 0.500 0.500 0.000